(1)
PmHfNp2N4: relaxed, PBE.

Output
Final energy = -10.5796 eV per atom
Density of states at the Fermi level = 1.47 states/eV per atom
Crystal system = monoclinic

abc: 3.395 5.967 5.906
angles: 109.10 90.00 90.00
Each line ends with the local moment (μB).
Fractional coordinates of all 8 atoms:
N 0.500 0.778 0.759  -0.09
N 0.500 0.222 0.241  -0.09
N 0.000 0.781 0.258  -0.09
N 0.000 0.219 0.742  -0.09
Np 0.000 0.500 0.500  3.43
Np 0.500 0.000 0.500  2.59
Hf 0.000 0.000 0.000  0.03
Pm 0.500 0.500 0.000  0.04


(2)
Pr2HfNpN6: relaxed, PBE.

Output
Final energy = -9.4128 eV per atom
Density of states at the Fermi level = 0.72 states/eV per atom
Crystal system = monoclinic

abc: 5.850 5.877 8.295
angles: 90.00 90.06 90.00
Fractional coordinates of all 20 atoms:
N 0.721 0.290 0.951
N 0.287 0.721 0.448
N 0.213 0.221 0.052
N 0.787 0.779 0.948
N 0.779 0.790 0.549
N 0.592 0.024 0.255
N 0.092 0.476 0.755
N 0.408 0.976 0.745
N 0.908 0.524 0.245
N 0.279 0.710 0.049
N 0.713 0.279 0.552
N 0.221 0.210 0.451
Np 0.500 0.000 0.500
Np 0.000 0.500 0.000
Hf 0.500 0.000 0.000
Hf 0.000 0.500 0.500
Pr 0.011 0.963 0.251
Pr 0.489 0.463 0.249
Pr 0.989 0.037 0.749
Pr 0.511 0.537 0.751